# Er2HF

An optimized crystal structure of Er2HF (PBE, the Alexandria database).

Results
VASP energy: -4.92 eV per atom
calculated density: 7.5 g/cm³
symmetry: No. 166
N(E_F): 0.16 states/eV/atom

abc: 3.571 3.571 7.398
angles: 76.04 76.04 60.00
Element x y z (fractional)
F (0.000, 0.000, 0.000)
Er (0.101, 0.101, 0.696)
Er (0.899, 0.899, 0.304)
H (0.500, 0.500, 0.500)

---

# ErHF

An optimized crystal structure of ErHF (PBE, the Alexandria database).

Results
VASP energy: -5.17 eV per atom
calculated density: 8.1 g/cm³
symmetry: No. 216
N(E_F): 0.61 states/eV/atom

abc: 3.785 3.785 3.785
angles: 60.00 60.00 60.00
Element x y z (fractional)
Er (0.250, 0.250, 0.250)
H (0.000, 0.000, 0.000)
F (0.500, 0.500, 0.500)